Entry from Alexandria via LeMat-Bulk: YTl4Ag after structural relaxation (PBE).

Crystal system: cubic
ρ (Mg/m³): 9.76
Size of the total moment (μB/f.u.): 0.00
Formation enthalpy at 0 K (eV/atom): 0.212

CIF file:
```
data_YTl4Ag
_chemical_formula_sum 'Y4 Tl16 Ag4'
_cell_length_a 8.8373
_cell_length_b 8.8373
_cell_length_c 8.8373
_cell_angle_alpha 90.00
_cell_angle_beta 90.00
_cell_angle_gamma 90.00
_symmetry_space_group_name_H-M 'F -4 3 m'
_symmetry_Int_Tables_number 216
_symmetry_space_group_name_Hall 'F -4 2 3'
loop_
_atom_site_label
_atom_site_type_symbol
_atom_site_fract_x
_atom_site_fract_y
_atom_site_fract_z
Y1 Y 0.0000 0.0000 0.0000
Tl1 Tl 0.1250 0.1250 0.3750
Ag1 Ag 0.2500 0.2500 0.7500
```